Li4ZnAu3: relaxed, PBE.

## Properties
Energy above the most stable polymorph in this dataset   0 meV per atom

Cell and atoms, written as extended XYZ:
```
8
Lattice="3.216 0.000 0.000 0.000 3.216 0.000 0.000 0.000 11.831" Properties=species:S:1:pos:R:3 pbc="T T T"
Li 0.000 0.000 1.508
Li 0.000 0.000 4.417
Li 0.000 0.000 7.413
Li 0.000 0.000 10.322
Zn 1.608 1.608 0.000
Au 1.608 1.608 2.889
Au 1.608 1.608 5.915
Au 1.608 1.608 8.942
```



Li2ZnAu5: relaxed, PBE.

Cell and atoms, written as extended XYZ:
```
8
Lattice="3.721 -4.175 0.000 3.721 4.175 0.000 -3.700 0.000 4.252" Properties=species:S:1:pos:R:3 pbc="T T T"
Li 3.721 2.084 0.000
Li 3.721 -2.084 0.000
Zn 0.010 0.000 2.127
Au -1.844 0.000 4.251
Au 1.871 2.087 2.126
Au 3.732 0.000 2.121
Au 1.871 -2.087 2.126
Au 1.886 0.000 4.251
```



LiZnAu2: relaxed, PBE.

Cell and atoms, written as extended XYZ:
```
4
Lattice="4.457 -1.460 0.000 4.457 1.460 0.000 -0.976 0.000 5.036" Properties=species:S:1:pos:R:3 pbc="T T T"
Li 0.000 0.000 0.000
Zn 3.969 0.000 2.518
Au 1.427 0.000 3.784
Au 6.511 0.000 1.253
```



Li5Zn2Au5: relaxed, PBE.

## Properties
Energy above the most stable polymorph in this dataset   0 meV per atom

Cell and atoms, written as extended XYZ:
```
12
Lattice="5.838 -1.959 0.000 5.838 1.959 0.000 -3.814 0.000 8.267" Properties=species:S:1:pos:R:3 pbc="T T T"
Li 0.000 0.000 0.000
Li -1.731 0.000 6.253
Li 0.031 0.000 4.163
Li 7.830 0.000 4.104
Li 9.592 0.000 2.014
Zn 2.051 0.000 6.190
Zn 5.810 0.000 2.077
Au 1.796 0.000 2.172
Au 4.003 0.000 0.113
Au 3.931 0.000 4.133
Au 3.858 0.000 8.154
Au 6.065 0.000 6.095
```



LiZrAu: relaxed, PBE.

## Properties
Energy above the most stable polymorph in this dataset   121 meV per atom

Cell and atoms, written as extended XYZ:
```
6
Lattice="-1.626 1.626 10.956 1.626 -1.626 10.956 1.626 1.626 -10.956" Properties=species:S:1:pos:R:3 pbc="T T T"
Li 0.000 0.000 4.713
Li 0.000 0.000 17.199
Zr 0.000 0.000 1.510
Zr 0.000 0.000 20.402
Au 0.000 0.000 7.689
Au 0.000 0.000 14.223
```



Li2ZrAu: relaxed, PBE.

## Properties
Energy above the most stable polymorph in this dataset   111 meV per atom

Cell and atoms, written as extended XYZ:
```
4
Lattice="2.923 0.000 0.000 0.000 3.457 0.000 0.000 0.000 6.791" Properties=species:S:1:pos:R:3 pbc="T T T"
Li 0.000 0.000 1.348
Li 0.000 0.000 5.443
Zr 1.461 1.729 3.396
Au 1.461 1.729 0.000
```



Across the entries above, magnetization takes the values 0.0, 0.0, 0.0, 0.0, 0.9, 0.0 μB per cell, respectively.
Across the entries above, density of states at the Fermi level takes the values 2.290, 1.934, 0.829, 4.220, 6.150, 1.863 states/eV per cell, respectively.
Across the entries above, formation energy takes the values -455, -368, -298, -444, -184, -111 meV per atom, respectively.